No. 1
This record from Alexandria via LeMat-Bulk describes a relaxed structure of Sc3CdW. The functional is GGA-PBE.

* calculated volume: 26.3 Å³ per atom
* VASP energy: -5.178 eV/atom
* energy of formation: 1.39 eV per atom
* energy above the most stable polymorph in this dataset: 861 meV per atom

Structure (POSCAR):
```
Sc3CdW
1.0
5.083 0.000 0.000
0.000 5.083 0.000
0.000 0.000 5.083
Sc Cd W
3 1 1
Cartesian
0.000 0.000 2.542
2.542 0.000 0.000
0.000 2.542 0.000
0.000 0.000 0.000
2.542 2.542 2.542
```

=====

No. 2
This record from Alexandria via LeMat-Bulk describes a relaxed structure of Th2AsI2. The functional is GGA-PBE.

* calculated volume: 38.5 Å³ per atom
* VASP energy: -5.754 eV/atom
* formation energy from raw total energies: -1236 meV/atom

Structure (POSCAR):
```
Th2AsI2
1.0
-2.104 -3.284 1.791
0.627 -3.994 -1.444
8.383 -3.708 8.190
Th I As
2 2 1
Cartesian
1.737 -4.523 4.032
5.169 -6.463 4.506
5.659 -5.155 7.480
1.247 -5.832 1.057
4.505 -3.851 3.373
```

=====

No. 3
This record from Alexandria via LeMat-Bulk describes a relaxed structure of CaSm2Eu. The functional is GGA-PBE.

* calculated volume: 36.5 Å³ per atom
* VASP energy: -5.313 eV/atom
* energy of formation: 0.12 eV per atom
* energy above the most stable polymorph in this dataset: 0 meV per atom

Structure (POSCAR):
```
CaSm2Eu
1.0
3.684 0.000 0.000
0.000 3.684 0.000
0.000 0.000 10.762
Sm Eu Ca
2 1 1
Cartesian
0.000 0.000 2.640
0.000 0.000 8.122
1.842 1.842 0.000
1.842 1.842 5.381
```

=====

No. 4
This record from Alexandria via LeMat-Bulk describes a relaxed structure of DyHo6Tm2. The functional is GGA-PBE.

* calculated volume: 34.0 Å³ per atom
* VASP energy: -4.155 eV/atom
* energy of formation: 0.40 eV per atom
* energy above the most stable polymorph in this dataset: 327 meV per atom

Structure (POSCAR):
```
DyHo6Tm2
1.0
-3.347 -5.985 0.833
0.636 -4.999 -4.724
4.908 -6.400 2.382
Tm Ho Dy
2 6 1
Cartesian
1.684 -13.055 -1.109
-0.330 -8.019 -1.659
2.538 -7.356 0.515
1.459 -2.681 0.570
-0.256 -5.746 0.997
2.852 -9.819 -1.814
1.784 -5.242 -1.850
0.889 -10.306 0.924
3.993 -10.056 1.078
```

=====

No. 5
This record from Alexandria via LeMat-Bulk describes a relaxed structure of LaBe2Pt. The functional is GGA-PBE.

* calculated volume: 18.7 Å³ per atom
* VASP energy: -4.425 eV/atom
* energy of formation: 0.18 eV per atom

Structure (POSCAR):
```
LaBe2Pt
1.0
4.028 0.000 0.000
0.000 4.027 0.000
0.000 0.000 4.621
Be La Pt
2 1 1
Cartesian
2.014 2.014 0.000
0.000 0.000 0.000
2.014 0.000 2.311
0.000 2.014 2.311
```

=====

No. 6
This record from Alexandria via LeMat-Bulk describes a relaxed structure of TlGa2Tc2. The functional is GGA-PBE.

* calculated volume: 16.9 Å³ per atom
* VASP energy: -5.672 eV/atom
* energy of formation: 0.16 eV per atom
* energy above the most stable polymorph in this dataset: 0 meV per atom

Structure (POSCAR):
```
TlGa2Tc2
1.0
-3.365 3.384 5.304
4.413 -3.018 4.725
2.091 2.568 -0.312
Tl Ga Tc
2 4 4
Cartesian
0.524 0.183 5.015
0.000 0.000 0.000
3.407 -0.170 3.690
0.513 2.029 2.410
2.625 0.906 7.307
-0.269 3.105 6.027
-0.049 0.962 7.584
-1.533 1.744 4.083
2.581 -1.378 5.946
1.096 -0.595 2.445
```

=====

No. 7
This record from Alexandria via LeMat-Bulk describes a relaxed structure of KBaSn. The functional is GGA-PBE.

* calculated volume: 47.7 Å³ per atom
* VASP energy: -2.569 eV/atom
* energy of formation: -0.23 eV per atom
* energy above the most stable polymorph in this dataset: 0 meV per atom

Structure (POSCAR):
```
KBaSn
1.0
-3.945 0.940 1.317
-1.604 -1.811 -3.511
2.378 -6.470 4.840
Sn K Ba
1 1 1
Cartesian
-3.128 -6.599 2.244
-2.838 -1.545 -0.496
-0.256 -4.466 2.421
```

=====

No. 8
This record from Alexandria via LeMat-Bulk describes a relaxed structure of Ga3ReSb. The functional is GGA-PBE.

* calculated volume: 23.6 Å³ per atom
* VASP energy: -4.617 eV/atom
* energy above the most stable polymorph in this dataset: 0 meV per atom
* formation energy from raw total energies: 513 meV/atom

Structure (POSCAR):
```
Ga3ReSb
1.0
-4.067 1.748 -2.111
1.188 -2.280 -4.176
-2.470 -3.975 1.468
Sb Ga Re
1 3 1
Cartesian
-2.675 -2.254 -2.410
-1.235 -1.987 0.734
0.594 -1.140 -2.088
-2.034 0.874 -1.056
0.000 0.000 0.000
```

=====

No. 9
This record from Alexandria via LeMat-Bulk describes a relaxed structure of NdErBe. The functional is GGA-PBE.

* calculated volume: 24.3 Å³ per atom
* VASP energy: -4.080 eV/atom
* energy of formation: 0.27 eV per atom
* energy above the most stable polymorph in this dataset: 155 meV per atom

Structure (POSCAR):
```
NdErBe
1.0
-3.357 2.997 -5.305
-8.288 1.949 1.784
-0.327 8.675 0.548
Be Nd Er
6 6 6
Cartesian
-5.794 6.640 -1.183
-1.487 1.328 -2.349
-4.294 5.026 -0.295
-8.600 10.339 0.871
-0.965 1.133 -0.040
-5.271 6.446 1.126
-1.034 5.124 -1.058
-5.017 9.405 -3.410
-8.997 6.041 -2.792
-6.991 11.892 -2.585
-10.971 8.529 -1.969
-5.014 1.759 -0.440
-7.274 4.503 -0.066
-10.216 11.561 -2.881
-3.370 3.503 -2.644
-3.292 7.864 -0.686
-7.678 8.815 -1.478
-5.908 6.249 -4.047
```

=====

No. 10
This record from Alexandria via LeMat-Bulk describes a relaxed structure of V2ZnOs. The functional is GGA-PBE.

* calculated volume: 13.6 Å³ per atom
* VASP energy: -7.743 eV/atom
* energy of formation: -0.06 eV per atom

Structure (POSCAR):
```
V2ZnOs
1.0
3.736 0.000 0.000
0.000 3.820 0.000
0.000 0.000 3.820
V Zn Os
2 1 1
Cartesian
0.000 0.000 1.910
0.000 1.910 0.000
1.868 0.000 0.000
1.868 1.910 1.910
```

=====

No. 11
This record from Alexandria via LeMat-Bulk describes a relaxed structure of K3Sm2InTe6. The functional is GGA-PBE.

* calculated volume: 36.8 Å³ per atom
* VASP energy: -3.978 eV/atom
* formation energy from raw total energies: -1118 meV/atom

Structure (POSCAR):
```
K3Sm2InTe6
1.0
7.857 -0.002 -0.001
-3.928 6.804 -0.001
-1.311 -2.271 8.271
Te Sm K In
6 2 3 1
Cartesian
-0.042 -0.072 6.542
0.077 4.535 6.549
-1.272 2.199 1.720
3.889 2.333 6.549
2.659 4.604 1.727
2.540 -0.003 1.720
3.923 2.270 -0.001
0.006 4.532 -0.001
1.309 2.266 4.134
-2.590 4.517 4.134
5.207 0.015 4.134
0.000 0.000 0.000
```

=====

No. 12
This record from Alexandria via LeMat-Bulk describes a relaxed structure of SrLi2As2Pd2. The functional is GGA-PBE.

* calculated volume: 18.8 Å³ per atom
* VASP energy: -4.393 eV/atom
* energy of formation: -0.79 eV per atom

Structure (POSCAR):
```
SrLi2As2Pd2
1.0
-1.487 -4.009 -0.379
0.609 -2.179 -3.648
6.823 -4.979 1.586
Sr As Li Pd
1 2 2 2
Cartesian
0.000 0.000 0.000
4.416 -8.358 -1.848
1.528 -2.809 -0.593
3.779 -3.732 0.334
2.165 -7.435 -2.775
4.362 -6.153 -0.648
1.582 -5.014 -1.793
```